Below is an optimized crystal structure of NiPIrO2, with properties calculated at the PBE with a Hubbard U level.

Computed properties:
Calculated total energy, eV/cell: -26.57

```
5
Lattice="3.721 0.000 0.000 0.000 3.721 0.000 0.000 0.000 5.293" Properties=species:S:1:pos:R:3 pbc="T T T"
Ni 0.000 0.000 0.000
P 1.861 1.861 0.000
Ir 1.861 1.861 2.646
O 0.000 1.861 2.646
O 1.861 0.000 2.646
```